# ZrPbSe2, relaxed, DFT PBE
data_ZrPbSe2
_symmetry_space_group_name_H-M 'P 1'
_symmetry_Int_Tables_number 1
_cell_length_a 15.5897
_cell_length_b 15.5897
_cell_length_c 3.8634
_cell_angle_alpha 90.00
_cell_angle_beta 90.00
_cell_angle_gamma 166.97
loop_
_symmetry_equiv_pos_as_xyz
'x,y,z'
loop_
_atom_site_label
_atom_site_fract_x
_atom_site_fract_y
_atom_site_fract_z
Pb1 0.0454 0.9546 0.2500
Pb2 0.9546 0.0454 0.7500
Se1 0.2172 0.7828 0.2500
Se2 0.7828 0.2172 0.7500
Se3 0.8783 0.1217 0.2500
Se4 0.1217 0.8783 0.7500
Zr1 0.3140 0.6860 0.2500
Zr2 0.6860 0.3140 0.7500
# E_form (uncorrected)   -0.828 eV/atom
# Volume   26.5 Å³ per atom
# Total DFT energy (no corrections)   -45.1 eV for the cell shown
# Magnetization   0.0 μB/cell